Density functional theory data (PBE+U) for a relaxed structure of MoRh2ClF.

total DFT energy (no corrections): -4.349 eV/atom
E above lowest polymorph: 221 meV per atom
density: 6.35 g/cm3

CIF file:
```
data_MoRh2ClF
_space_group_name_H-M_alt 'P 4/m m m'
_space_group_IT_number 123
_space_group_name_Hall '-P 4 2'
_cell_length_a 4.709
_cell_length_b 4.709
_cell_length_c 4.200
_cell_angle_alpha 90.00
_cell_angle_beta 90.00
_cell_angle_gamma 90.00
loop_
_atom_site_label
_atom_site_fract_x
_atom_site_fract_y
_atom_site_fract_z
_atom_site_occupancy
Mo1 0.000 0.000 0.000 1
Rh1 0.000 0.500 0.500 1
Cl1 0.500 0.500 0.000 1
F1 0.000 0.000 0.500 1
```